## NaHoPt2 (PBE-GGA)

Data for a relaxed NaHoPt2 crystal.

Summary:
The value obtained for the formation energy is -711 meV per atom. The density of states at the Fermi level comes out at 0.257 states/eV/atom.

Unit cell a=4.4265 b=4.4265 c=3.8678 alpha=90.00 beta=90.00 gamma=90.00
Space group P4/mmm (No. 123)
Inequivalent atoms, fractional coordinates:
1 Na 0.0000 0.0000 0.0000 (multiplicity 1)
2 Ho 0.5000 0.5000 0.0000 (multiplicity 1)
3 Pt 0.0000 0.5000 0.5000 (multiplicity 2)


## Na3Ho3PuS8 (PBE-GGA)

Data for a relaxed Na3Ho3PuS8 crystal.

Summary:
For the formation energy from raw total energies, the calculation gives -1.7403 eV per atom. The density of states at the Fermi level comes out at 0.776 states/eV/atom.

Unit cell a=7.9417 b=7.9417 c=20.1351 alpha=90.00 beta=90.00 gamma=120.00
Space group R-3m (No. 166, hexagonal axes)
Inequivalent atoms, fractional coordinates:
1 Na 0.0000 0.5000 0.0000 (multiplicity 9)
2 Ho 0.0000 0.5000 0.5000 (multiplicity 9)
3 Pu 0.0000 0.0000 0.5000 (multiplicity 3)
4 S 0.0000 0.0000 0.2418 (multiplicity 6)
5 S 0.0050 0.5025 0.2397 (multiplicity 18)


## Na4HoPu3S8 (PBE-GGA)

Data for a relaxed Na4HoPu3S8 crystal.

Summary:
For the formation energy from raw total energies, the calculation gives -1.6207 eV per atom. The density of states at the Fermi level comes out at 1.694 states/eV/atom.

Unit cell a=8.0540 b=8.0540 c=19.8905 alpha=90.00 beta=90.00 gamma=120.00
Space group R-3m (No. 166, hexagonal axes)
Inequivalent atoms, fractional coordinates:
1 Na 0.0000 0.0000 0.0000 (multiplicity 3)
2 Na 0.0000 0.5000 0.0000 (multiplicity 9)
3 Ho 0.0000 0.0000 0.5000 (multiplicity 3)
4 Pu 0.0000 0.5000 0.5000 (multiplicity 9)
5 S 0.0000 0.0000 0.2413 (multiplicity 6)
6 S 0.0033 0.5017 0.2423 (multiplicity 18)


## Na3Ho2PuS6 (PBE-GGA)

Data for a relaxed Na3Ho2PuS6 crystal.

Summary:
For the formation energy from raw total energies, the calculation gives -1.7302 eV per atom. The density of states at the Fermi level comes out at 0.978 states/eV/atom.

Unit cell a=6.9327 b=12.0079 c=7.0489 alpha=90.00 beta=109.14 gamma=90.00
Space group C2/m (No. 12)
Inequivalent atoms, fractional coordinates:
1 Na 0.0000 0.0000 0.0000 (multiplicity 2)
2 Na 0.0000 0.3332 0.0000 (multiplicity 4)
3 Ho 0.0000 0.1666 0.5000 (multiplicity 4)
4 Pu 0.0000 0.5000 0.5000 (multiplicity 2)
5 S 0.2376 0.0000 0.7267 (multiplicity 4)
6 S 0.2443 0.3311 0.7261 (multiplicity 8)


## Na2HoPuS4 (PBE-GGA)

Data for a relaxed Na2HoPuS4 crystal.

Summary:
For the formation energy from raw total energies, the calculation gives -1.6840 eV per atom. The density of states at the Fermi level comes out at 1.291 states/eV/atom.

Unit cell a=6.9499 b=4.0112 c=7.0456 alpha=90.00 beta=109.35 gamma=90.00
Space group P2/m (No. 10)
Inequivalent atoms, fractional coordinates:
1 Na 0.0000 0.0000 0.0000 (multiplicity 1)
2 Na 0.5000 0.5000 0.0000 (multiplicity 1)
3 Ho 0.0000 0.5000 0.5000 (multiplicity 1)
4 Pu 0.5000 0.0000 0.5000 (multiplicity 1)
5 S 0.2382 0.0000 0.7273 (multiplicity 2)
6 S 0.2553 0.5000 0.2746 (multiplicity 2)


## Na4Ho3PuS8 (PBE-GGA)

Data for a relaxed Na4Ho3PuS8 crystal.

Summary:
For the formation energy from raw total energies, the calculation gives -1.7621 eV per atom. The density of states at the Fermi level comes out at 0.702 states/eV/atom.

Unit cell a=7.9820 b=7.9820 c=19.9947 alpha=90.00 beta=90.00 gamma=120.00
Space group R-3m (No. 166, hexagonal axes)
Inequivalent atoms, fractional coordinates:
1 Na 0.0000 0.0000 0.0000 (multiplicity 3)
2 Na 0.0000 0.5000 0.0000 (multiplicity 9)
3 Ho 0.0000 0.5000 0.5000 (multiplicity 9)
4 Pu 0.0000 0.0000 0.5000 (multiplicity 3)
5 S 0.0000 0.0000 0.2420 (multiplicity 6)
6 S 0.0040 0.5020 0.7579 (multiplicity 18)


## Na3HoPu3S8 (PBE-GGA)

Data for a relaxed Na3HoPu3S8 crystal.

Summary:
For the formation energy from raw total energies, the calculation gives -1.6044 eV per atom. The density of states at the Fermi level comes out at 1.673 states/eV/atom.

Unit cell a=13.8923 b=8.0211 c=8.1078 alpha=90.00 beta=124.84 gamma=90.00
Space group C2/m (No. 12)
Inequivalent atoms, fractional coordinates:
1 Na 0.0000 0.0000 0.0000 (multiplicity 2)
2 Na 0.2500 0.2500 0.0000 (multiplicity 4)
3 Ho 0.0000 0.0000 0.5000 (multiplicity 2)
4 Pu 0.0000 0.5000 0.5000 (multiplicity 2)
5 Pu 0.2500 0.2500 0.5000 (multiplicity 4)
6 S 0.0100 0.2495 0.2814 (multiplicity 8)
7 S 0.2396 0.0000 0.7198 (multiplicity 4)
8 S 0.2418 0.5000 0.7237 (multiplicity 4)


## Na3HoPu2Se6 (PBE-GGA)

Data for a relaxed Na3HoPu2Se6 crystal.

Summary:
For the formation energy from raw total energies, the calculation gives -1.4982 eV per atom. The density of states at the Fermi level comes out at 1.816 states/eV/atom.

Unit cell a=7.2482 b=12.5545 c=7.3692 alpha=90.00 beta=109.14 gamma=90.00
Space group C2/m (No. 12)
Inequivalent atoms, fractional coordinates:
1 Na 0.0000 0.0000 0.0000 (multiplicity 2)
2 Na 0.0000 0.3332 0.0000 (multiplicity 4)
3 Ho 0.0000 0.5000 0.5000 (multiplicity 2)
4 Pu 0.0000 0.1666 0.5000 (multiplicity 4)
5 Se 0.2418 0.3350 0.7302 (multiplicity 8)
6 Se 0.2466 0.0000 0.7300 (multiplicity 4)